Compound: Pm4PBr5
Source: Alexandria via LeMat-Bulk
Functional: GGA-PBE
Structure: relaxed

Output
Energy relative to the elements, uncorrected ... -1676 meV per atom
Electronic total energy ... -49.53 eV for the cell shown

Cell: 4.0982 8.4983 9.4599 Å, 102.90 102.51 90.00°
Positions (direct):
Pm 0.6498 0.0804 0.2995
Pm 0.9996 0.2193 0.9992
Pm 0.3502 0.9196 0.7005
Pm 0.0004 0.7807 0.0008
P 0.5000 0.0000 0.0000
Br 0.1658 0.3374 0.3315
Br 0.1716 0.8348 0.3432
Br 0.8284 0.1652 0.6568
Br 0.5000 0.5000 0.0000
Br 0.8342 0.6626 0.6685